DFT (GGA+U) results for a relaxed structure of ZrMn2F8.

Cell: 9.4889 7.1745 4.5381 Å, 90.00 100.68 90.00°
Space group C2/m (No. 12)
Unique sites:
Zr: 0.0000 0.0000 0.0000
Mn: 0.1327 0.5000 0.3120
F: 0.0945 0.5000 0.7719
F: 0.1174 0.2054 0.2444
F: 0.1515 0.0000 0.7379

## Properties
- E: -6.593 eV/atom
- Crystal system: monoclinic